Entry from Alexandria via LeMat-Bulk: an optimized crystal structure of ScCrO3 (GGA+U).

CIF file:
```
data_ScCrO3
_chemical_formula_sum 'Sc4 Cr4 O12'
_symmetry_space_group_name_H-M 'P n m a'
_symmetry_Int_Tables_number 62
_cell_length_a 5.414
_cell_length_b 7.558
_cell_length_c 5.093
_cell_angle_alpha 90.00
_cell_angle_beta 90.00
_cell_angle_gamma 90.00
loop_
_symmetry_equiv_pos_as_xyz
'x,y,z'
'-x,-y,-z'
'-x+1/2,-y,z+1/2'
'x+1/2,y,-z+1/2'
'x+1/2,-y+1/2,-z+1/2'
'-x+1/2,y+1/2,z+1/2'
'-x,y+1/2,-z'
'x,-y+1/2,z'
loop_
_atom_site_label
_atom_site_type_symbol
_atom_site_fract_x
_atom_site_fract_y
_atom_site_fract_z
_atom_site_occupancy
Sc1 Sc 0.069 0.250 0.026 1
Cr1 Cr 0.000 0.000 0.500 1
O1 O 0.064 0.750 0.358 1
O2 O 0.191 0.573 0.815 1
```

Summary:
**N(E_F)**: 0.00 states/eV/f.u.
**E_tot**: -8.463 eV/atom